Density functional theory data (PBE) for a relaxed ErTm3Se6 crystal.

Cell: 8.3000 8.3000 8.3000 Å, 90.86 90.86 90.86°
Last column: nearest neighbours and their distance in Å.
Fractional coordinates of all 20 atoms:
Er 0.0000 0.0000 0.0000  6 Se 2.82
Er 0.5000 0.5000 0.5000  6 Se 2.78
Tm 0.4295 0.9203 0.7546  6 Se 2.79-2.92
Tm 0.9203 0.7546 0.4295  6 Se 2.79-2.92
Tm 0.2454 0.5705 0.0797  6 Se 2.79-2.92
Tm 0.7546 0.4295 0.9203  6 Se 2.79-2.92
Tm 0.0797 0.2454 0.5705  6 Se 2.79-2.92
Tm 0.5705 0.0797 0.2454  6 Se 2.79-2.92
Se 0.3163 0.9104 0.0863  3 Tm 2.82-2.92, 1 Er 2.82
Se 0.0896 0.9137 0.6837  3 Tm 2.82-2.92, 1 Er 2.82
Se 0.5934 0.8207 0.4626  1 Er 2.78, 3 Tm 2.79-2.91
Se 0.9137 0.6837 0.0896  3 Tm 2.82-2.92, 1 Er 2.82
Se 0.4626 0.5934 0.8207  1 Er 2.78, 3 Tm 2.79-2.91
Se 0.1793 0.5374 0.4066  1 Er 2.78, 3 Tm 2.79-2.91
Se 0.8207 0.4626 0.5934  1 Er 2.78, 3 Tm 2.79-2.91
Se 0.5374 0.4066 0.1793  1 Er 2.78, 3 Tm 2.79-2.91
Se 0.0863 0.3163 0.9104  3 Tm 2.82-2.92, 1 Er 2.82
Se 0.4066 0.1793 0.5374  1 Er 2.78, 3 Tm 2.79-2.91
Se 0.9104 0.0863 0.3163  3 Tm 2.82-2.92, 1 Er 2.82
Se 0.6837 0.0896 0.9137  3 Tm 2.82-2.92, 1 Er 2.82

Output
Energy above the lowest structure with this stoichiometry, meV per atom: 23
E_form (uncorrected), kcal/mol of atoms: -41.90
Space group: R-3, No. 148